## K2YIn (PBE)

Data for K2YIn after structural relaxation.

Cell: 20.9083 3.8338 4.9584 Å, 90.00 103.67 90.00°
Closest atoms and distances in Å follow each position.
Atoms (fractional coordinates):
K: 0.1585 0.0000 0.1588  2 In 3.75, 2 K 3.83, 2 Y 4.06-4.07
K: 0.3415 0.5000 0.8412  2 In 3.75, 2 K 3.83, 2 Y 4.06-4.07
K: 0.6585 0.5000 0.1588  2 In 3.75, 2 K 3.83, 2 Y 4.06-4.07
K: 0.8415 0.0000 0.8412  2 In 3.75, 2 K 3.83, 2 Y 4.06-4.07
Y: 0.0000 0.0000 0.5000  4 In 3.13
Y: 0.5000 0.5000 0.5000  4 In 3.13
In: 0.0000 0.5000 0.0000  4 Y 3.13
In: 0.5000 0.0000 0.0000  4 Y 3.13

N(E_F): 6.08 states/eV/cell
DFT formation energy: 0.03 eV per atom
Space group: C2/m, No. 12